Record 1
The following is a PBE calculation of an optimized crystal structure of RbNiSn2Hg, from the Alexandria database.

Lattice parameters (Å, degrees): 5.102 5.102 5.343 90.00 90.00 90.00
Fractional coordinates of all 5 atoms:
Rb: 0.000 0.000 0.000
Ni: 0.500 0.500 0.500
Sn: 0.000 0.500 0.500
Sn: 0.500 0.000 0.500
Hg: 0.500 0.500 0.000

## Properties
- Energy of formation from the pure elements: -0.010 eV/atom
- E_tot: -0.1110 Ha/atom
- Theoretical density: 6.951 g/cm3
- Space-group type: P4/mmm (123)

Record 2
The following is a PBE calculation of an optimized crystal structure of KHf2AlCu, from the Alexandria database.

Lattice parameters (Å, degrees): 4.994 4.994 5.275 90.00 90.00 90.00
Fractional coordinates of all 5 atoms:
K: 0.000 0.000 0.000
Hf: 0.000 0.500 0.500
Hf: 0.500 0.000 0.500
Al: 0.500 0.500 0.000
Cu: 0.000 0.000 0.500

## Properties
- Energy of formation from the pure elements: 1.000 eV/atom
- E_tot: -0.1752 Ha/atom
- Theoretical density: 6.143 g/cm3
- Space-group type: P4/mmm (123)

Record 3
The following is a PBE calculation of an optimized crystal structure of Ba4U3BrO12, from the Alexandria database.

Lattice parameters (Å, degrees): 7.902 7.902 7.902 109.47 109.47 109.47
Fractional coordinates of all 20 atoms:
Ba: 0.000 0.000 0.500
Ba: 0.000 0.500 0.000
Ba: 0.500 0.000 0.000
Ba: 0.500 0.500 0.500
U: 0.000 0.500 0.500
U: 0.500 0.000 0.500
U: 0.500 0.500 0.000
Br: 0.000 0.000 0.000
O: 0.000 0.295 0.295
O: 0.000 0.705 0.705
O: 0.250 0.500 0.750
O: 0.250 0.750 0.500
O: 0.295 0.000 0.295
O: 0.295 0.295 0.000
O: 0.500 0.250 0.750
O: 0.500 0.750 0.250
O: 0.705 0.000 0.705
O: 0.705 0.705 0.000
O: 0.750 0.250 0.500
O: 0.750 0.500 0.250

## Properties
- E_tot: -0.2926 Ha/atom
- Theoretical density: 6.712 g/cm3
- Space-group type: Im-3m (229)

Record 4
The following is a PBE calculation of an optimized crystal structure of CaPr2Sm9, from the Alexandria database.

Lattice parameters (Å, degrees): 5.179 5.179 15.501 90.00 90.00 90.00
Fractional coordinates of all 12 atoms:
Ca: 0.000 0.000 0.000
Pr: 0.000 0.000 0.333
Pr: 0.000 0.000 0.667
Sm: 0.000 0.500 0.171
Sm: 0.000 0.500 0.500
Sm: 0.000 0.500 0.829
Sm: 0.500 0.000 0.171
Sm: 0.500 0.000 0.500
Sm: 0.500 0.000 0.829
Sm: 0.500 0.500 0.000
Sm: 0.500 0.500 0.333
Sm: 0.500 0.500 0.667

## Properties
- Energy of formation from the pure elements: 0.041 eV/atom
- E_tot: -0.1640 Ha/atom
- Theoretical density: 6.690 g/cm3
- Space-group type: P4/mmm (123)